No. 1
Below is a geometry-optimized LiHg2Pb3 structure, with properties calculated at the PBE level.

Output
DFT formation energy   -1.660 kcal/mol of atoms
M_tot   0.000 Bohr magnetons per cell
Uncorrected energy   -56.297 eV/cell

```
data_LiHg2Pb3
_chemical_formula_sum 'Li4 Hg8 Pb12'
_space_group_name_H-M_alt 'C 1 2/m 1'
_space_group_IT_number 12
_cell_length_a 16.341
_cell_length_b 3.438
_cell_length_c 12.485
_cell_angle_alpha 90.00
_cell_angle_beta 111.25
_cell_angle_gamma 90.00
loop_
_space_group_symop_operation_xyz
'x,y,z'
'-x,-y,-z'
'-x,y,-z'
'x,-y,z'
'x+1/2,y+1/2,z'
'-x+1/2,-y+1/2,-z'
'-x+1/2,y+1/2,-z'
'x+1/2,-y+1/2,z'
loop_
_atom_site_label
_atom_site_type_symbol
_atom_site_fract_x
_atom_site_fract_y
_atom_site_fract_z
Li1 Li 0.090 0.000 0.188
Hg1 Hg 0.085 0.000 0.967
Hg2 Hg 0.190 0.500 0.362
Pb1 Pb 0.040 0.500 0.721
Pb2 Pb 0.108 0.000 0.525
Pb3 Pb 0.245 0.000 0.854
```



No. 2
Below is a geometry-optimized Na2CdH4 structure, with properties calculated at the PBE level.

Output
M_tot   0.000 Bohr magnetons per cell
Uncorrected energy   -70.331 eV/cell

```
data_Na2CdH4
_chemical_formula_sum 'Na8 Cd4 H16'
_space_group_name_H-M_alt 'C m c m'
_space_group_IT_number 63
_space_group_name_Hall '-C 2c 2'
_cell_length_a 5.999
_cell_length_b 9.501
_cell_length_c 7.066
_cell_angle_alpha 90.00
_cell_angle_beta 90.00
_cell_angle_gamma 90.00
loop_
_atom_site_label
_atom_site_type_symbol
_atom_site_fract_x
_atom_site_fract_y
_atom_site_fract_z
Na1 Na 0.000 0.000 0.000
Na2 Na 0.000 0.324 0.250
Cd1 Cd 0.000 0.349 0.750
H1 H 0.000 0.238 0.541
H2 H 0.244 0.470 0.750
```